# Be2GaCu8

Be2GaCu8 after structural relaxation (PBE, the Alexandria database).

Output
- Energy of formation from the pure elements: 0.0 eV per formula unit
- E: -3.93 eV/atom

a b c (Å): 3.907 5.785 6.726
angles (deg): 115.50 106.93 89.95
Fractional positions:
Ga  0.137  0.912  0.909
Be  0.794  0.617  0.224
Cu  0.134  0.492  0.909
Cu  0.300  0.365  0.234
Be  0.479  0.302  0.594
Cu  0.973  0.041  0.584
Cu  0.339  0.858  0.314
Cu  0.635  0.214  0.909
Cu  0.770  0.007  0.175
Cu  0.504  0.741  0.643
Cu  0.934  0.453  0.504